(a)
VASP calculation (GGA-PBE) on an optimized crystal structure of KBeMo.

Computed properties:
- volume (A^3/atom) = 20.89
- calculated density (g/cm3) = 3.8

a = 2.6394 Å, b = 3.5992 Å, c = 13.1924 Å
α = 90.00°, β = 90.00°, γ = 90.00°
Closest atoms and distances in Å follow each position.
Space group Imm2 (No. 44)
One atom of each set of equivalent atoms:
K: 0.0000 0.0000 0.0000  2 K 2.64
Be: 0.0000 0.0000 0.2986  4 Mo 2.43, 2 Be 2.64
Mo: 0.0000 0.0000 0.7255  4 Be 2.43, 2 Mo 2.64

***

(b)
VASP calculation (GGA-PBE) on an optimized crystal structure of KBeMo.

Computed properties:
- volume (A^3/atom) = 24.42
- calculated density (g/cm3) = 3.3

a = 6.6424 Å, b = 6.6424 Å, c = 6.6424 Å
α = 90.00°, β = 90.00°, γ = 90.00°
Closest atoms and distances in Å follow each position.
Space group F-43m (No. 216)
One atom of each set of equivalent atoms:
K: 0.0000 0.0000 0.0000  4 Be 2.88
Be: 0.2500 0.2500 0.2500  4 K 2.88, 4 Mo 2.88
Mo: 0.0000 0.0000 0.5000  4 Be 2.88

***

(c)
VASP calculation (GGA-PBE) on an optimized crystal structure of KBeMo.

Computed properties:
- volume (A^3/atom) = 18.87
- calculated density (g/cm3) = 4.2

a = 2.7923 Å, b = 2.7923 Å, c = 14.5193 Å
α = 90.00°, β = 90.00°, γ = 90.00°
Closest atoms and distances in Å follow each position.
Space group I4mm (No. 107)
One atom of each set of equivalent atoms:
K: 0.0000 0.0000 0.0000  4 K 2.79
Be: 0.0000 0.0000 0.6890  4 Mo 2.47
Mo: 0.0000 0.0000 0.2915  4 Be 2.47

***

Most stable: (a). Least stable: (b).

***

(a)
VASP calculation (GGA-PBE) on an optimized crystal structure of KBe3Mo.

Computed properties:
- volume (A^3/atom) = 19.86
- calculated density (g/cm3) = 2.7

a = 4.6304 Å, b = 4.6304 Å, c = 4.6304 Å
α = 90.00°, β = 90.00°, γ = 90.00°
Closest atoms and distances in Å follow each position.
Space group Pm-3m (No. 221)
One atom of each set of equivalent atoms:
K: 0.0000 0.0000 0.0000  12 Be 3.27
Be: 0.0000 0.5000 0.5000  2 Mo 2.32
Mo: 0.5000 0.5000 0.5000  6 Be 2.32

***

(b)
VASP calculation (GGA-PBE) on an optimized crystal structure of KBe3Mo.

Computed properties:
- volume (A^3/atom) = 15.15
- calculated density (g/cm3) = 3.6

a = 4.2312 Å, b = 4.2312 Å, c = 4.2312 Å
α = 90.00°, β = 90.00°, γ = 90.00°
Closest atoms and distances in Å follow each position.
Space group Pm-3m (No. 221)
One atom of each set of equivalent atoms:
K: 0.0000 0.0000 0.0000  6 Be 2.12
Be: 0.0000 0.0000 0.5000  2 K 2.12
Mo: 0.5000 0.5000 0.5000  12 Be 2.99

***

Most stable: (a). Least stable: (b).

***

(a)
VASP calculation (GGA-PBE) on an optimized crystal structure of KBe3N.

Computed properties:
- volume (A^3/atom) = 13.43
- calculated density (g/cm3) = 2.0

a = 4.0644 Å, b = 4.0644 Å, c = 4.0644 Å
α = 90.00°, β = 90.00°, γ = 90.00°
Closest atoms and distances in Å follow each position.
Space group Pm-3m (No. 221)
One atom of each set of equivalent atoms:
K: 0.0000 0.0000 0.0000  12 Be 2.87
Be: 0.0000 0.5000 0.5000  2 N 2.03
N: 0.5000 0.5000 0.5000  6 Be 2.03

***

(b)
VASP calculation (GGA-PBE) on an optimized crystal structure of KBe3N.

Computed properties:
- volume (A^3/atom) = 56.37
- calculated density (g/cm3) = 0.5

a = 6.5566 Å, b = 6.5566 Å, c = 6.5566 Å
α = 90.00°, β = 90.00°, γ = 90.00°
Closest atoms and distances in Å follow each position.
Space group Pm-3m (No. 221)
One atom of each set of equivalent atoms:
K: 0.0000 0.0000 0.0000  6 Be 3.28
Be: 0.0000 0.0000 0.5000  2 K 3.28
N: 0.5000 0.5000 0.5000  12 Be 4.64

***

Most stable: (a). Least stable: (b).

***

(a)
VASP calculation (GGA-PBE) on an optimized crystal structure of KBeSe2N.

Computed properties:
- volume (A^3/atom) = 33.53
- calculated density (g/cm3) = 2.2

a = 5.8541 Å, b = 5.8541 Å, c = 4.8914 Å
α = 90.00°, β = 90.00°, γ = 90.00°
Closest atoms and distances in Å follow each position.
Space group P4/mmm (No. 123)
One atom of each set of equivalent atoms:
K: 0.0000 0.0000 0.0000  2 N 2.45
Be: 0.5000 0.5000 0.5000  8 Se 3.81, 4 N 4.14
Se: 0.0000 0.5000 0.0000  2 K 2.93
N: 0.0000 0.0000 0.5000  2 K 2.45

***

(b)
VASP calculation (GGA-PBE) on an optimized crystal structure of KBeSe2N.

Computed properties:
- volume (A^3/atom) = 19.75
- calculated density (g/cm3) = 3.7

a = 5.6883 Å, b = 5.6883 Å, c = 3.0524 Å
α = 90.00°, β = 90.00°, γ = 90.00°
Closest atoms and distances in Å follow each position.
Space group P4/mmm (No. 123)
One atom of each set of equivalent atoms:
K: 0.0000 0.0000 0.0000  2 K 3.05, 8 Se 3.23
Be: 0.5000 0.5000 0.5000  2 N 1.53
Se: 0.0000 0.5000 0.5000  2 Be 2.84, 2 Se 3.05
N: 0.5000 0.5000 0.0000  2 Be 1.53

***

Most stable: (b). Least stable: (a).

***

(a)
VASP calculation (GGA-PBE) on an optimized crystal structure of KBeTeN2.

Computed properties:
- volume (A^3/atom) = 31.33
- calculated density (g/cm3) = 2.2

a = 4.7317 Å, b = 4.7317 Å, c = 6.9978 Å
α = 90.00°, β = 90.00°, γ = 90.00°
Closest atoms and distances in Å follow each position.
Space group P4/mmm (No. 123)
One atom of each set of equivalent atoms:
K: 0.0000 0.0000 0.0000  4 N 2.37
Be: 0.5000 0.5000 0.5000  4 Te 3.35
Te: 0.0000 0.0000 0.5000  4 Be 3.35, 2 K 3.50
N: 0.0000 0.5000 0.0000  2 K 2.37

***

(b)
VASP calculation (GGA-PBE) on an optimized crystal structure of KBeTeN2.

Computed properties:
- volume (A^3/atom) = 18.65
- calculated density (g/cm3) = 3.6

a = 4.3349 Å, b = 4.3349 Å, c = 4.9625 Å
α = 90.00°, β = 90.00°, γ = 90.00°
Closest atoms and distances in Å follow each position.
Space group P4/mmm (No. 123)
One atom of each set of equivalent atoms:
K: 0.0000 0.0000 0.0000  4 Te 3.07, 8 N 3.29
Be: 0.5000 0.5000 0.5000  4 N 2.17
Te: 0.5000 0.5000 0.0000  2 Be 2.48
N: 0.0000 0.5000 0.5000  2 Be 2.17

***

Most stable: (b). Least stable: (a).

***

(a)
VASP calculation (GGA-PBE) on an optimized crystal structure of KBeNb.

Computed properties:
- volume (A^3/atom) = 27.77
- calculated density (g/cm3) = 2.8

a = 4.0107 Å, b = 4.0107 Å, c = 11.9597 Å
α = 90.00°, β = 90.00°, γ = 120.00°
Closest atoms and distances in Å follow each position.
Space group P6_3/mmc (No. 194)
One atom of each set of equivalent atoms:
K: 0.0000 0.0000 0.0000  6 Be 3.78, 6 Nb 3.78, 6 K 4.01
Be: 0.3333 0.6667 0.2500  3 Nb 2.32
Nb: 0.3333 0.6667 0.7500  3 Be 2.32

***

(b)
VASP calculation (GGA-PBE) on an optimized crystal structure of KBeNb.

Computed properties:
- volume (A^3/atom) = 23.56
- calculated density (g/cm3) = 3.3

a = 6.5630 Å, b = 6.5630 Å, c = 6.5630 Å
α = 90.00°, β = 90.00°, γ = 90.00°
Closest atoms and distances in Å follow each position.
Space group F-43m (No. 216)
One atom of each set of equivalent atoms:
K: 0.0000 0.0000 0.0000  4 Be 2.84
Be: 0.2500 0.2500 0.2500  4 Nb 2.84, 4 K 2.84
Nb: 0.0000 0.0000 0.5000  4 Be 2.84

***

Most stable: (a). Least stable: (b).

***

(a)
VASP calculation (GGA-PBE) on an optimized crystal structure of KBeNb.

Computed properties:
- volume (A^3/atom) = 27.13
- calculated density (g/cm3) = 2.9

a = 3.8603 Å, b = 3.8606 Å, c = 12.7508 Å
α = 93.18°, β = 95.47°, γ = 119.93°
Closest atoms and distances in Å follow each position.
Space group P1 (No. 1)
One atom of each set of equivalent atoms:
K: 0.0000 0.0000 0.0000  6 Be 3.43-3.46, 1 Nb 3.68
K: 0.3538 0.2974 0.6560  3 Nb 3.74-3.75, 6 K 3.86
Be: 0.4439 0.7614 0.2075  3 Be 2.23, 3 Nb 2.47
Be: 0.7785 0.4293 0.2097  3 Be 2.23, 3 Nb 2.46
Nb: 0.1565 0.1333 0.2924  6 Be 2.46-2.47, 3 Nb 2.73
Nb: 0.8906 0.5236 0.4174  1 Be 2.62, 3 Nb 2.73

***

(b)
VASP calculation (GGA-PBE) on an optimized crystal structure of KBeNb.

Computed properties:
- volume (A^3/atom) = 31.25
- calculated density (g/cm3) = 2.5

a = 4.3628 Å, b = 4.3631 Å, c = 11.3745 Å
α = 89.27°, β = 88.95°, γ = 60.01°
Closest atoms and distances in Å follow each position.
Space group P-1 (No. 2)
One atom of each set of equivalent atoms:
K: 0.1813 0.1701 0.1914  3 Be 3.52-3.53, 1 Nb 3.53
Be: 0.4961 0.4989 0.5918  1 Be 2.09
Nb: 0.1666 0.1667 0.5018  3 Nb 2.52, 6 Be 2.72-2.74

***

(c)
VASP calculation (GGA-PBE) on an optimized crystal structure of KBeNb.

Computed properties:
- volume (A^3/atom) = 27.06
- calculated density (g/cm3) = 2.9

a = 3.5009 Å, b = 3.8194 Å, c = 12.2852 Å
α = 98.69°, β = 90.22°, γ = 90.00°
Closest atoms and distances in Å follow each position.
Space group P1 (No. 1)
One atom of each set of equivalent atoms:
K: 0.0000 0.0000 0.0000  1 Be 3.30, 2 K 3.50
K: 0.4896 0.6782 0.3482  1 Be 3.30, 2 K 3.50
Be: 0.9995 0.8643 0.7282  2 Be 2.19
Be: 0.4981 0.8117 0.6198  2 Be 2.19
Nb: 0.4996 0.3785 0.7570  6 Be 2.53-2.62, 2 Nb 2.67
Nb: 0.9973 0.2976 0.5911  6 Be 2.53-2.62, 2 Nb 2.67

***

(d)
VASP calculation (GGA-PBE) on an optimized crystal structure of KBeNb.

Computed properties:
- volume (A^3/atom) = 24.92
- calculated density (g/cm3) = 3.1

a = 3.4206 Å, b = 3.4214 Å, c = 12.7762 Å
α = 90.43°, β = 90.53°, γ = 90.03°
Closest atoms and distances in Å follow each position.
Space group P-1 (No. 2)
One atom of each set of equivalent atoms:
K: 0.2221 0.2561 0.1658  4 K 3.42, 1 Nb 3.46, 4 Be 3.52-3.55
Be: 0.2758 0.2349 0.6325  5 Nb 2.51-2.58
Nb: 0.2287 0.2652 0.4365  5 Be 2.51-2.58, 1 Nb 2.77

***

Most stable: (c). Least stable: (a).

***

(a)
VASP calculation (GGA-PBE) on an optimized crystal structure of KBe2Nb.

Computed properties:
- volume (A^3/atom) = 17.99
- calculated density (g/cm3) = 3.5

a = 6.6026 Å, b = 6.6026 Å, c = 6.6026 Å
α = 90.00°, β = 90.00°, γ = 90.00°
Closest atoms and distances in Å follow each position.
Space group Fm-3m (No. 225)
One atom of each set of equivalent atoms:
K: 0.0000 0.0000 0.0000  8 Be 2.86
Be: 0.2500 0.2500 0.2500  4 Nb 2.86, 4 K 2.86
Nb: 0.0000 0.0000 0.5000  8 Be 2.86

***

(b)
VASP calculation (GGA-PBE) on an optimized crystal structure of KBe2Nb.

Computed properties:
- volume (A^3/atom) = 21.80
- calculated density (g/cm3) = 2.9

a = 7.1936 Å, b = 7.1936 Å, c = 6.7407 Å
α = 90.00°, β = 90.00°, γ = 90.00°
Closest atoms and distances in Å follow each position.
Space group I-42d (No. 122)
One atom of each set of equivalent atoms:
K: 0.0000 0.0000 0.0000  4 Be 3.00
Be: 0.1883 0.2500 0.6250  2 Nb 2.40
Nb: 0.0000 0.0000 0.5000  4 Be 2.40

***

Most stable: (a). Least stable: (b).

***

(a)
VASP calculation (GGA-PBE) on an optimized crystal structure of KBe3Nb.

Computed properties:
- volume (A^3/atom) = 22.62
- calculated density (g/cm3) = 2.3

a = 4.8360 Å, b = 4.8360 Å, c = 4.8360 Å
α = 90.00°, β = 90.00°, γ = 90.00°
Closest atoms and distances in Å follow each position.
Space group Pm-3m (No. 221)
One atom of each set of equivalent atoms:
K: 0.0000 0.0000 0.0000  12 Be 3.42
Be: 0.0000 0.5000 0.5000  2 Nb 2.42
Nb: 0.5000 0.5000 0.5000  6 Be 2.42

***

(b)
VASP calculation (GGA-PBE) on an optimized crystal structure of KBe3Nb.

Computed properties:
- volume (A^3/atom) = 15.79
- calculated density (g/cm3) = 3.3

a = 4.2896 Å, b = 4.2896 Å, c = 4.2896 Å
α = 90.00°, β = 90.00°, γ = 90.00°
Closest atoms and distances in Å follow each position.
Space group Pm-3m (No. 221)
One atom of each set of equivalent atoms:
K: 0.0000 0.0000 0.0000  6 Be 2.14
Be: 0.0000 0.0000 0.5000  2 K 2.14
Nb: 0.5000 0.5000 0.5000  12 Be 3.03

***

Most stable: (a). Least stable: (b).

***

(a)
VASP calculation (GGA-PBE) on an optimized crystal structure of KBeNb3.

Computed properties:
- volume (A^3/atom) = 20.66
- calculated density (g/cm3) = 5.3

a = 4.6918 Å, b = 4.6918 Å, c = 4.6918 Å
α = 90.00°, β = 90.00°, γ = 90.00°
Closest atoms and distances in Å follow each position.
Space group Pm-3m (No. 221)
One atom of each set of equivalent atoms:
K: 0.0000 0.0000 0.0000  12 Nb 3.32
Be: 0.5000 0.5000 0.5000  6 Nb 2.35
Nb: 0.0000 0.5000 0.5000  2 Be 2.35

***

(b)
VASP calculation (GGA-PBE) on an optimized crystal structure of KBeNb3.

Computed properties:
- volume (A^3/atom) = 19.14
- calculated density (g/cm3) = 5.7

a = 4.5739 Å, b = 4.5739 Å, c = 4.5739 Å
α = 90.00°, β = 90.00°, γ = 90.00°
Closest atoms and distances in Å follow each position.
Space group Pm-3m (No. 221)
One atom of each set of equivalent atoms:
K: 0.0000 0.0000 0.0000  6 Nb 2.29
Be: 0.5000 0.5000 0.5000  12 Nb 3.23
Nb: 0.0000 0.0000 0.5000  2 K 2.29

***

Most stable: (a). Least stable: (b).

***

(a)
VASP calculation (GGA-PBE) on an optimized crystal structure of KBeNi.

Computed properties:
- volume (A^3/atom) = 26.81
- calculated density (g/cm3) = 2.2

a = 6.8518 Å, b = 6.8518 Å, c = 6.8518 Å
α = 90.00°, β = 90.00°, γ = 90.00°
Closest atoms and distances in Å follow each position.
Space group F-43m (No. 216)
One atom of each set of equivalent atoms:
K: 0.0000 0.0000 0.0000  4 Be 2.97, 4 Ni 2.97
Be: 0.2500 0.2500 0.7500  4 K 2.97
Ni: 0.2500 0.2500 0.2500  4 K 2.97

***

(b)
VASP calculation (GGA-PBE) on an optimized crystal structure of KBeNi.

Computed properties:
- volume (A^3/atom) = 21.76
- calculated density (g/cm3) = 2.7

a = 6.3917 Å, b = 6.3917 Å, c = 6.3917 Å
α = 90.00°, β = 90.00°, γ = 90.00°
Closest atoms and distances in Å follow each position.
Space group F-43m (No. 216)
One atom of each set of equivalent atoms:
K: 0.0000 0.0000 0.0000  4 Be 2.77
Be: 0.2500 0.2500 0.2500  4 K 2.77, 4 Ni 2.77
Ni: 0.0000 0.0000 0.5000  4 Be 2.77

***

Most stable: (b). Least stable: (a).

***

(a)
VASP calculation (GGA-PBE) on an optimized crystal structure of KBeNi.

Computed properties:
- volume (A^3/atom) = 21.72
- calculated density (g/cm3) = 2.7

a = 6.3877 Å, b = 6.3877 Å, c = 6.3877 Å
α = 90.00°, β = 90.00°, γ = 90.00°
Closest atoms and distances in Å follow each position.
Space group F-43m (No. 216)
One atom of each set of equivalent atoms:
K: 0.0000 0.0000 0.0000  4 Ni 2.77
Be: 0.0000 0.0000 0.5000  4 Ni 2.77
Ni: 0.2500 0.2500 0.7500  4 K 2.77, 4 Be 2.77

***

(b)
VASP calculation (GGA-PBE) on an optimized crystal structure of KBeNi.

Computed properties:
- volume (A^3/atom) = 18.12
- calculated density (g/cm3) = 3.3

a = 2.7876 Å, b = 3.3861 Å, c = 6.1511 Å
α = 105.86°, β = 102.81°, γ = 90.02°
Closest atoms and distances in Å follow each position.
Space group P1 (No. 1)
One atom of each set of equivalent atoms:
K: 0.0000 0.0000 0.0000  2 K 2.79, 1 Be 2.98, 1 Ni 3.02
Be: 0.2586 0.2586 0.5175  4 Ni 2.20-2.21
Ni: 0.7379 0.7379 0.4760  4 Be 2.20-2.21

***

(c)
VASP calculation (GGA-PBE) on an optimized crystal structure of KBeNi.

Computed properties:
- volume (A^3/atom) = 21.01
- calculated density (g/cm3) = 2.8

a = 3.6773 Å, b = 3.6773 Å, c = 5.3816 Å
α = 90.00°, β = 90.00°, γ = 120.00°
Closest atoms and distances in Å follow each position.
Space group P-6m2 (No. 187)
One atom of each set of equivalent atoms:
K: 0.0000 0.0000 0.0000  6 Be 3.43, 6 Ni 3.43, 6 K 3.68
Be: 0.3333 0.6667 0.5000  3 Ni 2.12
Ni: 0.6667 0.3333 0.5000  3 Be 2.12

***

Most stable: (b). Least stable: (a).